1.
Computed, not measured: crystalline Re2PdPt2 at its relaxed geometry at the PBE level of DFT.

Computed properties:
crystal system	tetragonal
symmetry	P4/mbm
ΔE to the lowest computed polymorph	0.0	kJ/mol of formula units
DFT formation energy	0.222	eV per atom

Cell: 7.729 7.729 2.735 Å, 90.00 90.00 90.00°
Positions (direct):
Pt 0.675 0.825 0.500
Pt 0.175 0.675 0.500
Pt 0.825 0.325 0.500
Pt 0.325 0.175 0.500
Re 0.883 0.617 0.000
Re 0.383 0.883 0.000
Re 0.617 0.117 0.000
Re 0.117 0.383 0.000
Pd 0.500 0.500 0.000
Pd 0.000 0.000 0.000

***

2.
Computed, not measured: crystalline Ho4Er3Ag4 at its relaxed geometry at the PBE level of DFT.

Computed properties:
crystal system	orthorhombic
symmetry	Immm
DFT formation energy	-0.096	eV per atom

Cell: 5.022 7.375 9.063 Å, 114.01 106.09 90.00°
Positions (direct):
Ag 0.808 0.308 0.616
Ag 0.192 0.692 0.384
Ag 0.500 0.810 0.000
Ag 0.500 0.190 0.000
Ho 0.676 0.451 0.352
Ho 0.676 0.901 0.352
Ho 0.324 0.099 0.648
Ho 0.324 0.549 0.648
Er 0.896 0.896 0.792
Er 0.000 0.500 0.000
Er 0.104 0.104 0.208

***

3.
Computed, not measured: crystalline Zn2CoBr at its relaxed geometry at the PBE level of DFT.

Computed properties:
crystal system	tetragonal
symmetry	I-4m2
ΔE to the lowest computed polymorph	166.1	kJ/mol of formula units
E_form (uncorrected)	527	meV/atom

Cell: 4.994 4.994 4.994 Å, 133.66 133.66 67.61°
Positions (direct):
Zn 0.000 0.000 0.000
Zn 0.750 0.250 0.500
Co 0.250 0.750 0.500
Br 0.500 0.500 0.000